Record 1
Sm5DyTh2 | PBE | relaxed

Structure (POSCAR):
```
Sm5DyTh2
1.0
-4.458 4.458 6.747
4.458 -4.458 6.747
4.458 4.458 -6.747
Sm Dy Th
10 2 4
direct
0.000 0.000 0.000 Sm
0.010 0.510 0.196 Sm
0.186 0.990 0.500 Sm
0.314 0.814 0.804 Sm
0.490 0.686 0.500 Sm
0.500 0.500 0.000 Sm
0.510 0.314 0.500 Sm
0.686 0.186 0.196 Sm
0.814 0.010 0.500 Sm
0.990 0.490 0.804 Sm
0.250 0.250 0.000 Dy
0.750 0.750 0.000 Dy
0.141 0.359 0.500 Th
0.359 0.859 0.218 Th
0.641 0.141 0.782 Th
0.859 0.641 0.500 Th
```

As for the formation energy from the elements: 114 kJ/mol of formula units. As for the crystal system: tetragonal. The value obtained for the size of the total moment is 0.002 μB per formula unit. For the theoretical density, the calculation gives 8.5 Mg/m³.



Record 2
DyMg3Cd | PBE | relaxed

Structure (POSCAR):
```
DyMg3Cd
1.0
10.153 0.000 0.000
0.000 3.400 0.000
0.000 0.000 14.076
Dy Mg Cd
4 12 4
direct
0.148 0.250 0.029 Dy
0.352 0.750 0.529 Dy
0.648 0.250 0.471 Dy
0.852 0.750 0.971 Dy
0.100 0.250 0.429 Mg
0.123 0.750 0.823 Mg
0.124 0.750 0.243 Mg
0.376 0.250 0.743 Mg
0.377 0.250 0.323 Mg
0.400 0.750 0.929 Mg
0.600 0.250 0.071 Mg
0.623 0.750 0.677 Mg
0.624 0.750 0.257 Mg
0.876 0.250 0.757 Mg
0.877 0.250 0.177 Mg
0.900 0.750 0.571 Mg
0.126 0.250 0.639 Cd
0.374 0.750 0.139 Cd
0.626 0.250 0.861 Cd
0.874 0.750 0.361 Cd
```

As for the formation energy from the elements: -54 kJ/mol of formula units. As for the crystal system: orthorhombic. The value obtained for the size of the total moment is 0.000 μB per formula unit. For the theoretical density, the calculation gives 4.8 Mg/m³.



Record 3
BOsSCl2 | PBE | relaxed

Structure (POSCAR):
```
BOsSCl2
1.0
4.961 0.000 0.000
0.000 4.961 0.000
0.000 0.000 4.400
B Os S Cl
1 1 1 2
direct
0.000 0.000 0.000 B
0.500 0.500 0.500 Os
0.500 0.500 0.000 S
0.000 0.500 0.500 Cl
0.500 0.000 0.500 Cl
```

As for the crystal system: tetragonal. The value obtained for the size of the total moment is 0.000 μB per formula unit. For the theoretical density, the calculation gives 4.7 Mg/m³. The value obtained for the uncorrected formation energy is 1.0804 eV/atom.